(1)
VASP calculation (PBEsol) on crystalline SrLi2Sb at its relaxed geometry.

abc: 4.6452 4.6452 4.8168
angles: 90.00 90.00 90.00
Last column: nearest neighbours and their distance in Å.
Space group P4/mmm (No. 123)
Inequivalent atoms, fractional coordinates:
Sr  0.0000  0.0000  0.0000 [1 per cell]  4 Sb 3.28, 8 Li 3.35
Li  0.0000  0.5000  0.5000 [2 per cell]  4 Li 3.28, 4 Sb 3.35, 4 Sr 3.35
Sb  0.5000  0.5000  0.0000 [1 per cell]  4 Sr 3.28, 8 Li 3.35

Computed properties:
As for the formation energy from raw total energies: -1.89 eV/f.u. As for the size of the total moment: 0.78 μB per formula unit. The calculation puts the density of states at the Fermi level at 0.981 states/eV per cell.

(2)
VASP calculation (PBEsol) on crystalline KIn3S at its relaxed geometry.

abc: 5.4847 5.4847 5.4847
angles: 90.00 90.00 90.00
Last column: nearest neighbours and their distance in Å.
Space group Pm-3m (No. 221)
Inequivalent atoms, fractional coordinates:
K  0.0000  0.0000  0.0000 [1 per cell]  12 In 3.88
In  0.0000  0.5000  0.5000 [3 per cell]  2 S 2.74
S  0.5000  0.5000  0.5000 [1 per cell]  6 In 2.74

Computed properties:
As for the formation energy from raw total energies: 0.51 eV/f.u. As for the size of the total moment: 0.00 μB per formula unit. The calculation puts the density of states at the Fermi level at 4.250 states/eV per cell.